The following is a SCAN calculation of Sc2TaCu at its PBEsol-relaxed geometry, from Alexandria via LeMat-Bulk.

Energy relative to the elements = 172 meV per atom
Symmetry = P4/mmm, No. 123

Cell and atoms, written as POSCAR:
```
Sc2TaCu
1.0
3.050 0.000 0.000
0.000 4.881 0.000
0.000 0.000 4.881
Ta Cu Sc
1 1 2
direct
0.500 0.500 0.500
0.500 0.000 0.000
0.000 0.000 0.500
0.000 0.500 0.000
```

=====

The following is a SCAN calculation of Mo3WSe6S2 at its PBEsol-relaxed geometry, from Alexandria via LeMat-Bulk.

Symmetry = P3m1, No. 156
Formation energy without anion corrections = -0.706 eV per atom

Cell and atoms, written as POSCAR:
```
Mo3WSe6S2
1.0
-3.137 -0.294 -0.734
2.030 -2.455 -0.564
-4.662 -9.289 23.660
S Mo W Se
2 3 1 6
direct
0.333 0.667 0.809
0.333 0.667 0.690
0.333 0.667 0.504
0.000 0.000 0.749
0.333 0.667 0.995
0.000 0.000 0.249
0.000 0.000 0.060
0.000 0.000 0.439
0.333 0.667 0.314
0.000 0.000 0.930
0.000 0.000 0.569
0.333 0.667 0.183
```

=====

The following is a SCAN calculation of Na2Cd2Ir at its PBEsol-relaxed geometry, from Alexandria via LeMat-Bulk.

Energy relative to the elements = 654 meV per atom
Symmetry = I4/mmm, No. 139

Cell and atoms, written as POSCAR:
```
Na2Cd2Ir
1.0
5.057 0.000 0.000
-2.528 4.559 0.016
0.000 -2.819 4.198
Na Cd Ir
2 2 1
direct
0.640 0.281 0.640
0.360 0.719 0.360
0.750 0.500 0.250
0.250 0.500 0.750
0.000 0.000 0.000
```

=====

The following is a SCAN calculation of BiRuCl2 at its PBEsol-relaxed geometry, from Alexandria via LeMat-Bulk.

Offset from the most stable computed form = 173 meV per atom
Symmetry = R-3m, No. 166
Formation energy without anion corrections = 0.207 eV per atom

Cell and atoms, written as POSCAR:
```
BiRuCl2
1.0
-2.932 0.008 -1.333
-2.454 -1.450 1.499
-3.770 7.402 4.446
Ru Cl Bi
1 2 1
direct
0.000 0.000 0.000
0.919 0.919 0.243
0.081 0.081 0.757
0.500 0.500 0.500
```

=====

The following is a SCAN calculation of Mg2ZnRh at its PBEsol-relaxed geometry, from Alexandria via LeMat-Bulk.

Energy relative to the elements = -384 meV per atom
Symmetry = Pm, No. 6

Cell and atoms, written as POSCAR:
```
Mg2ZnRh
1.0
-2.971 0.035 -0.695
0.048 -4.197 -0.417
0.295 -0.524 5.308
Rh Zn Mg
1 1 2
direct
0.308 0.000 0.489
0.438 0.500 0.754
0.036 0.000 0.949
0.718 0.500 0.308
```

=====

The following is a SCAN calculation of LiHg2Se at its PBEsol-relaxed geometry, from Alexandria via LeMat-Bulk.

Symmetry = C2/m, No. 12
Formation energy without anion corrections = -0.305 eV per atom

Cell and atoms, written as POSCAR:
```
LiHg2Se
1.0
-2.571 1.581 -0.793
-0.073 -2.328 -4.032
-2.082 -3.897 4.939
Hg Li Se
2 1 1
direct
0.500 0.000 0.500
0.000 0.500 0.500
0.000 0.500 0.000
0.500 0.000 0.000
```

=====

The following is a SCAN calculation of CrPOs3 at its PBEsol-relaxed geometry, from Alexandria via LeMat-Bulk.

Energy relative to the elements = 2120 meV per atom
Symmetry = Pm-3m, No. 221

Cell and atoms, written as POSCAR:
```
CrPOs3
1.0
-2.365 1.518 3.365
-3.628 -1.692 -1.787
0.680 -3.749 2.169
Os Cr P
3 1 1
direct
0.000 0.000 0.500
0.500 0.000 0.000
0.000 0.500 0.000
0.000 0.000 0.000
0.500 0.500 0.500
```

=====

The following is a SCAN calculation of ReAsSe2Br at its PBEsol-relaxed geometry, from Alexandria via LeMat-Bulk.

Symmetry = P4/mmm, No. 123
Formation energy without anion corrections = 0.798 eV per atom

Cell and atoms, written as POSCAR:
```
ReAsSe2Br
1.0
4.751 0.000 0.000
0.000 4.751 0.000
0.000 0.000 5.056
Br Re As Se
1 1 1 2
direct
0.000 0.000 0.500
0.000 0.000 0.000
0.500 0.500 0.500
0.500 0.000 0.000
0.000 0.500 0.000
```

=====

The following is a SCAN calculation of Al2CdCu at its PBEsol-relaxed geometry, from Alexandria via LeMat-Bulk.

Energy relative to the elements = 68 meV per atom
Symmetry = P4/mmm, No. 123

Cell and atoms, written as POSCAR:
```
Al2CdCu
1.0
4.010 0.000 0.000
0.000 4.008 0.000
0.000 0.000 3.995
Cu Al Cd
1 2 1
direct
0.000 0.500 0.500
0.500 0.500 0.000
0.000 0.000 0.000
0.500 0.000 0.500
```

=====

The following is a SCAN calculation of MnTlAu2 at its PBEsol-relaxed geometry, from Alexandria via LeMat-Bulk.

Energy relative to the elements = -73 meV per atom
Symmetry = I-4m2, No. 119

Cell and atoms, written as POSCAR:
```
MnTlAu2
1.0
4.197 0.000 0.000
0.000 4.197 0.000
-2.099 -2.099 4.053
Tl Au Mn
1 2 1
direct
0.250 0.750 0.500
0.750 0.250 0.500
0.000 0.000 0.000
0.500 0.500 0.000
```

=====

The following is a SCAN calculation of ScRe2IrO at its PBEsol-relaxed geometry, from Alexandria via LeMat-Bulk.

Symmetry = P4/mmm, No. 123
Formation energy without anion corrections = 0.116 eV per atom

Cell and atoms, written as POSCAR:
```
ScRe2IrO
1.0
-0.171 -1.571 3.696
-1.107 -3.537 -1.555
4.180 -1.174 -0.305
Re Ir O Sc
2 1 1 1
direct
0.000 0.500 0.000
0.500 0.000 0.000
0.000 0.000 0.500
0.000 0.000 0.000
0.500 0.500 0.500
```

=====

The following is a SCAN calculation of Nb3PdF at its PBEsol-relaxed geometry, from Alexandria via LeMat-Bulk.

Symmetry = Pm-3m, No. 221
Formation energy without anion corrections = -0.124 eV per atom

Cell and atoms, written as POSCAR:
```
Nb3PdF
1.0
4.246 0.000 0.000
0.000 4.246 0.000
0.000 0.000 4.246
Nb Pd F
3 1 1
direct
0.000 0.500 0.000
0.000 0.000 0.500
0.500 0.000 0.000
0.500 0.500 0.500
0.000 0.000 0.000
```

=====

The M_tot results, record by record, are as follows: 0.00; 0.00; 0.00; 1.88; 0.00; 0.00; 0.00; 0.35; 0.00; 4.41; 0.00; 0.00 μB per cell.